# meta-GGA SCAN ScTa2Cu, PBEsol geometry
# - Energy of formation: 0.116 eV per atom
# - Excess energy over the best structure of this formula in the dataset: 0.024 eV per atom
data_ScTa2Cu
_symmetry_space_group_name_H-M 'P m m m'
_symmetry_Int_Tables_number 47
_cell_length_a 3.1810
_cell_length_b 4.4211
_cell_length_c 4.8491
_cell_angle_alpha 90.00
_cell_angle_beta 90.00
_cell_angle_gamma 90.00
loop_
_symmetry_equiv_pos_as_xyz
'x,y,z'
'-x,-y,-z'
'-x,-y,z'
'x,y,-z'
'x,-y,-z'
'-x,y,z'
'-x,y,-z'
'x,-y,z'
loop_
_atom_site_label
_atom_site_type_symbol
_atom_site_fract_x
_atom_site_fract_y
_atom_site_fract_z
_atom_site_occupancy
Sc1 Sc 0.0000 0.0000 0.0000 1
Ta1 Ta 0.0000 0.5000 0.5000 1
Ta2 Ta 0.5000 0.0000 0.5000 1
Cu1 Cu 0.5000 0.5000 0.0000 1